Li2AcSmHg4 | PBE | optimized geometry Values from VASP.

DOS(E_F) (states/eV per atom): 0.597
V (Å³ per atom): 25.5
DFT formation energy (eV/atom): -0.43

Cell and atoms, written as Quantum ESPRESSO input:
```
&SYSTEM
  ibrav = 0, nat = 8, ntyp = 4
/
ATOMIC_SPECIES
Li 6.94 Li.upf
Ac 227.00 Ac.upf
Sm 150.36 Sm.upf
Hg 200.59 Hg.upf
CELL_PARAMETERS angstrom
2.533 1.463 9.169
-2.533 1.463 9.169
0.000 -2.925 9.169
ATOMIC_POSITIONS crystal
Li 0.241 0.241 0.241
Li 0.759 0.759 0.759
Ac 0.000 0.000 0.000
Sm 0.500 0.500 0.500
Hg 0.124 0.124 0.124
Hg 0.388 0.388 0.388
Hg 0.612 0.612 0.612
Hg 0.876 0.876 0.876
```